PrFeB4, relaxed, DFT PBE; SG = P6/mmm, No. 191; total moment = 0.793 μB/cell
1.0
-1.080 -1.595 -2.508
2.520 -1.065 1.586
-4.161 -3.686 4.135
B Fe Pr
4 1 1
direct
0.667 0.333 0.187 B
0.333 0.667 0.187 B
0.667 0.333 0.813 B
0.333 0.667 0.813 B
0.000 0.000 0.000 Fe
0.000 0.000 0.500 Pr

=====

PrFeB4, relaxed, DFT PBE; SG = Immm, No. 71; total moment = 2.623 μB/cell
1.0
-2.067 -4.018 -2.202
-4.909 0.653 0.866
3.975 1.899 -2.421
B Fe Pr
4 1 1
direct
0.590 0.254 0.336 B
0.081 0.746 0.336 B
0.919 0.254 0.664 B
0.410 0.746 0.664 B
0.000 0.000 0.000 Fe
0.500 0.500 0.000 Pr

=====

PrFeB, relaxed, DFT PBE; SG = F-43m, No. 216; total moment = 1.340 μB/cell
1.0
0.000 2.962 2.962
2.962 0.000 2.962
2.962 2.962 0.000
B Fe Pr
1 1 1
direct
0.250 0.250 0.250 B
0.000 0.000 0.000 Fe
0.750 0.750 0.750 Pr

=====

Pr21Fe16B30Te6, relaxed, DFT PBE; SG = P-43m, No. 215; total moment = 17.823 μB/cell
1.0
-9.996 -3.582 -0.403
1.874 -4.152 -9.600
3.079 -9.101 4.538
B Fe Pr Te
30 16 21 6
direct
0.413 0.000 0.000 B
0.587 0.000 0.000 B
0.000 0.413 0.000 B
0.000 0.587 0.000 B
0.236 0.236 0.036 B
0.764 0.764 0.036 B
0.312 0.100 0.100 B
0.100 0.312 0.100 B
0.900 0.688 0.100 B
0.688 0.900 0.100 B
0.236 0.036 0.236 B
0.036 0.236 0.236 B
0.964 0.764 0.236 B
0.764 0.964 0.236 B
0.100 0.100 0.312 B
0.900 0.900 0.312 B
0.000 0.000 0.413 B
0.000 0.000 0.587 B
0.900 0.100 0.688 B
0.100 0.900 0.688 B
0.764 0.036 0.764 B
0.964 0.236 0.764 B
0.036 0.764 0.764 B
0.236 0.964 0.764 B
0.688 0.100 0.900 B
0.900 0.312 0.900 B
0.100 0.688 0.900 B
0.312 0.900 0.900 B
0.764 0.236 0.964 B
0.236 0.764 0.964 B
0.748 0.090 0.090 Fe
0.910 0.252 0.090 Fe
0.090 0.748 0.090 Fe
0.252 0.910 0.090 Fe
0.103 0.103 0.103 Fe
0.897 0.897 0.103 Fe
0.910 0.090 0.252 Fe
0.090 0.910 0.252 Fe
0.090 0.090 0.748 Fe
0.910 0.910 0.748 Fe
0.897 0.103 0.897 Fe
0.103 0.897 0.897 Fe
0.252 0.090 0.910 Fe
0.090 0.252 0.910 Fe
0.910 0.748 0.910 Fe
0.748 0.910 0.910 Fe
0.500 0.246 0.000 Pr
0.246 0.500 0.000 Pr
0.754 0.500 0.000 Pr
0.500 0.754 0.000 Pr
0.500 0.000 0.246 Pr
0.000 0.500 0.246 Pr
0.284 0.284 0.284 Pr
0.716 0.716 0.284 Pr
0.713 0.287 0.287 Pr
0.287 0.713 0.287 Pr
0.246 0.000 0.500 Pr
0.754 0.000 0.500 Pr
0.000 0.246 0.500 Pr
0.500 0.500 0.500 Pr
0.000 0.754 0.500 Pr
0.287 0.287 0.713 Pr
0.713 0.713 0.713 Pr
0.716 0.284 0.716 Pr
0.284 0.716 0.716 Pr
0.500 0.000 0.754 Pr
0.000 0.500 0.754 Pr
0.500 0.500 0.194 Te
0.500 0.194 0.500 Te
0.194 0.500 0.500 Te
0.806 0.500 0.500 Te
0.500 0.806 0.500 Te
0.500 0.500 0.806 Te

=====

| no. | total energy (eV per cell) |
| --- | --- |
| 1 | -40.77 |
| 2 | -39.39 |
| 3 | -17.11 |
| 4 | -494.61 |